1.
{"formula": "Cd2AgGe", "functional": "PBE", "state": "relaxed", "cell": [[3.0902, 0.0000, 0.0000], [0.0000, 3.0902, 0.0000], [0.0000, 0.0000, 8.5583]], "species": ["Cd", "Cd", "Ag", "Ge"], "fractional_positions": [[0.0000, 0.0000, 0.2402], [0.0000, 0.0000, 0.7598], [0.5000, 0.5000, 0.0000], [0.5000, 0.5000, 0.5000]], "dos_ef_per_ev_cell": 1.45, "formation_energy_ev_per_atom": 0.0878, "final_energy_ev_per_atom": -2.24}

2.
{"formula": "Cd2Ag2Ge", "functional": "PBE", "state": "relaxed", "cell": [[-1.9182, 1.9182, 7.4249], [1.9182, -1.9182, 7.4249], [1.9182, 1.9182, -7.4249]], "species": ["Cd", "Cd", "Ag", "Ag", "Ge"], "fractional_positions": [[0.1003, 0.1003, 0.0000], [0.8997, 0.8997, 0.0000], [0.2500, 0.7500, 0.5000], [0.7500, 0.2500, 0.5000], [0.5000, 0.5000, 0.0000]], "dos_ef_per_ev_cell": 2.18, "formation_energy_ev_per_atom": 0.1954, "final_energy_ev_per_atom": -2.23, "de_polymorph_kcal_per_mol_atoms": 1.69}

3.
{"formula": "Cd2AgGe", "functional": "PBE", "state": "relaxed", "cell": [[1.5485, 0.8940, 9.8690], [-1.5485, 0.8940, 9.8690], [0.0000, -1.7881, 9.8690]], "species": ["Cd", "Cd", "Ag", "Ge"], "fractional_positions": [[0.0000, 0.0000, 0.0000], [0.1732, 0.1732, 0.1732], [0.5864, 0.5864, 0.5864], [0.4203, 0.4203, 0.4203]], "dos_ef_per_ev_cell": 1.45, "formation_energy_ev_per_atom": 0.1030, "final_energy_ev_per_atom": -2.22}

4.
{"formula": "CdAgGe2", "functional": "PBE", "state": "relaxed", "cell": [[-3.8947, 3.8947, 2.7906], [3.8947, -3.8947, 2.7906], [3.8947, 3.8947, -2.7906]], "species": ["Cd", "Cd", "Ag", "Ag", "Ge", "Ge", "Ge", "Ge"], "fractional_positions": [[0.0000, 0.0000, 0.0000], [0.7500, 0.2500, 0.5000], [0.2500, 0.7500, 0.5000], [0.5000, 0.5000, 0.0000], [0.1487, 0.1250, 0.5237], [0.3750, 0.8513, 0.9763], [0.6013, 0.6250, 0.4763], [0.8750, 0.3987, 0.0237]], "dos_ef_per_ev_cell": 3.67, "formation_energy_ev_per_atom": 0.2912, "final_energy_ev_per_atom": -2.96}

5.
{"formula": "CdAgGe", "functional": "PBE", "state": "relaxed", "cell": [[-3.7406, 6.4419, 3.7758], [3.7406, -6.4419, 3.7758], [3.7406, 6.4419, -3.7758]], "species": ["Cd", "Cd", "Cd", "Cd", "Cd", "Cd", "Ag", "Ag", "Ag", "Ag", "Ag", "Ag", "Ge", "Ge", "Ge", "Ge", "Ge", "Ge"], "fractional_positions": [[0.0009, 0.2500, 0.2509], [0.3905, 0.3345, 0.5560], [0.3904, 0.8337, 0.0567], [0.7770, 0.3337, 0.9433], [0.7785, 0.8345, 0.4440], [0.9991, 0.7500, 0.7491], [0.0551, 0.3896, 0.6684], [0.0551, 0.8867, 0.1655], [0.3873, 0.1377, 0.7496], [0.3881, 0.6377, 0.2504], [0.7213, 0.3867, 0.3316], [0.7213, 0.8896, 0.8345], [0.1126, 0.2493, 0.8640], [0.1126, 0.7486, 0.3633], [0.3853, 0.2486, 0.1360], [0.3853, 0.7493, 0.6367], [0.6613, 0.1613, 0.5000], [0.6613, 0.6613, 0.0000]], "dos_ef_per_ev_cell": 6.09, "formation_energy_ev_per_atom": 0.1460, "final_energy_ev_per_atom": -2.65, "de_polymorph_kcal_per_mol_atoms": 0.26}

6.
{"formula": "CdAg2Ge", "functional": "PBE", "state": "relaxed", "cell": [[1.5302, 0.8835, 9.3273], [-1.5302, 0.8835, 9.3273], [0.0000, -1.7670, 9.3273]], "species": ["Cd", "Ag", "Ag", "Ge"], "fractional_positions": [[0.0000, 0.0000, 0.0000], [0.2478, 0.2478, 0.2478], [0.7522, 0.7522, 0.7522], [0.5000, 0.5000, 0.5000]], "dos_ef_per_ev_cell": 1.89, "formation_energy_ev_per_atom": 0.0767, "final_energy_ev_per_atom": -2.73, "de_polymorph_kcal_per_mol_atoms": 0.12}

Respective calculated density values: 8.2; 7.8; 8.2; 7.2; 8.0; 8.8 g cm⁻³.